9
Lattice="5.580 0.000 0.000 -2.790 4.832 0.000 0.000 0.000 5.242" Properties=species:S:1:pos:R:3 comment="PBE+U AcHoMoO6, relaxed" dft_energy_ev_per_atom=-7.78 space_group="P312, No. 149" pbc="T T T"
Ac 0.000 0.000 0.000
Ho 0.000 3.222 2.621
Mo 2.790 1.611 2.621
O 2.040 0.181 3.729
O 1.177 1.676 1.513
O 3.540 0.181 1.513
O 1.927 2.975 3.729
O 4.403 1.676 3.729
O 3.653 2.975 1.513